{"formula": "La2Cu", "functional": "GGA-PBE", "state": "optimized geometry", "cell": [[-1.811, 1.811, 13.178], [1.811, -1.811, 13.178], [1.811, 1.811, -13.178]], "species": ["La", "La", "La", "La", "Cu", "Cu"], "fractional_positions": [[0.308, 0.558, 0.750], [0.442, 0.692, 0.750], [0.558, 0.308, 0.250], [0.692, 0.442, 0.250], [0.125, 0.875, 0.250], [0.875, 0.125, 0.750]], "formation_energy_mev_per_atom": 3, "spacegroup": "I4_1/amd", "m_tot_mub_per_fu": 0.00}